Arrangement A

Here is crystalline LiTaCr2 at its relaxed geometry from Alexandria via LeMat-Bulk. Energies are from PBE-GGA.

Output
Crystal system ... monoclinic
Space group ... Cm (8)

extended XYZ file:
```
4
Lattice="-2.0249 1.8822 -3.5708 -2.3531 -0.5628 -3.8131 -4.4487 0.3413 2.5826" Properties=species:S:1:pos:R:3 pbc="T T T"
Cr -0.1210 0.0153 0.0097
Cr -2.1424 0.4044 -1.1785
Li -4.3508 0.8241 -2.4225
Ta -6.6258 1.2473 -3.6106
```

Arrangement B

Here is crystalline LiTaCr2 at its relaxed geometry from Alexandria via LeMat-Bulk. Energies are from PBE-GGA.

Output
Crystal system ... monoclinic
Space group ... P2/m (10)

extended XYZ file:
```
4
Lattice="-1.6432 -2.5009 3.2460 1.1863 -2.0740 -0.9974 4.2220 0.3941 2.4409" Properties=species:S:1:pos:R:3 pbc="T T T"
Cr 4.2075 0.2974 2.3590
Cr 2.7187 -0.7432 0.8037
Li 0.5305 -1.6704 1.9839
Ta 3.2347 -2.5103 2.7056
```

Decreasing stability: arrangement B, arrangement A

Arrangement A

Here is crystalline LiTaCr2 at its relaxed geometry from Alexandria via LeMat-Bulk. Energies are from PBE-GGA.

Output
Crystal system ... orthorhombic
Space group ... Cmmm (65)

extended XYZ file:
```
4
Lattice="-1.4870 -1.4223 1.6144 0.7291 -1.4946 -2.0186 7.3293 -2.5309 4.5213" Properties=species:S:1:pos:R:3 pbc="T T T"
Cr 7.2942 -2.5188 4.4997
Cr 3.6997 -1.2776 2.2823
Li 1.4534 -2.0912 0.9282
Ta 5.1180 -3.3567 3.1888
```

Arrangement B

Here is crystalline LiTaCr2 at its relaxed geometry from Alexandria via LeMat-Bulk. Energies are from PBE-GGA.

Output
Crystal system ... orthorhombic
Space group ... Cmm2 (35)

extended XYZ file:
```
4
Lattice="2.6522 -0.0029 0.0000 -0.9837 2.4630 0.0000 0.0000 0.0000 8.9287" Properties=species:S:1:pos:R:3 pbc="T T T"
Cr 0.0000 0.0000 0.2313
Cr 0.8342 1.2300 1.9809
Li 0.0000 0.0000 4.2829
Ta 0.8342 1.2300 6.8979
```

Arrangement C

Here is crystalline LiTaCr2 at its relaxed geometry from Alexandria via LeMat-Bulk. Energies are from PBE-GGA.

Output
Crystal system ... orthorhombic
Space group ... Pmm2 (25)

extended XYZ file:
```
4
Lattice="2.5288 0.0000 0.0000 0.0000 4.0835 0.0000 0.0000 0.0000 5.3647" Properties=species:S:1:pos:R:3 pbc="T T T"
Cr 0.0000 0.0000 0.1058
Cr 1.2644 2.0417 1.2689
Li 0.0000 0.0000 2.6217
Ta 1.2644 2.0417 4.0506
```

Decreasing stability: arrangement B, arrangement A, arrangement C

Arrangement A

Here is crystalline LiTaCr2 at its relaxed geometry from Alexandria via LeMat-Bulk. Energies are from PBE-GGA.

Output
Crystal system ... trigonal
Space group ... R3m (160)

extended XYZ file:
```
4
Lattice="-3.6490 4.3622 -7.1725 -5.9873 3.8624 -5.7465 -4.4528 6.1101 -5.1601" Properties=species:S:1:pos:R:3 pbc="T T T"
Cr -13.9162 14.1588 -17.8573
Cr -3.6964 3.7609 -4.7432
Li -7.1428 7.2674 -9.1657
Ta -10.4672 10.6497 -13.4315
```

Arrangement B

Here is crystalline LiTaCr2 at its relaxed geometry from Alexandria via LeMat-Bulk. Energies are from PBE-GGA.

Output
Crystal system ... tetragonal
Space group ... I-4m2 (119)

extended XYZ file:
```
4
Lattice="-2.1508 3.5711 0.8813 -0.3332 -1.1806 4.0805 3.8260 0.2087 -1.8637" Properties=species:S:1:pos:R:3 pbc="T T T"
Cr 0.0000 0.0000 0.0000
Cr 1.1254 0.1117 2.3488
Li -1.2420 1.1952 2.4809
Ta 0.2166 2.4875 0.7493
```

Arrangement C

Here is crystalline LiTaCr2 at its relaxed geometry from Alexandria via LeMat-Bulk. Energies are from PBE-GGA.

Output
Crystal system ... orthorhombic
Space group ... Imm2 (44)

extended XYZ file:
```
4
Lattice="4.9871 0.0075 0.0083 2.1617 4.4942 -0.0083 -3.0904 -3.0194 2.4907" Properties=species:S:1:pos:R:3 pbc="T T T"
Cr 6.9333 4.3660 0.0000
Cr 2.9059 -0.2733 1.2495
Li 3.6808 2.3178 0.0000
Ta 1.2616 1.8243 1.2412
```

Arrangement D

Here is crystalline LiTaCr2 at its relaxed geometry from Alexandria via LeMat-Bulk. Energies are from PBE-GGA.

Output
Crystal system ... orthorhombic
Space group ... Cmmm (65)

extended XYZ file:
```
4
Lattice="-3.4818 0.1187 3.6927 -0.7421 -3.0419 -3.9962 1.1830 -1.8313 1.1743" Properties=species:S:1:pos:R:3 pbc="T T T"
Cr 0.0000 0.0000 0.0000
Cr -2.1120 -1.4616 -0.1517
Li -1.1494 -0.8563 2.4335
Ta 0.2205 -2.4366 -1.4109
```

Decreasing stability: arrangement C, arrangement B, arrangement A, arrangement D